# 1
Entry from Alexandria via LeMat-Bulk: an optimized crystal structure of BaSnCl3 (GGA-PBE).

Summary:
calculated total energy = -3.500 eV/atom

Cell lengths 5.9600, 5.9600, 5.9600 Å; angles 90.00, 90.00, 90.00 degrees
Space group Pm-3m (No. 221)
Symmetry-distinct sites (fractional):
Ba (0.0000, 0.0000, 0.0000)
Sn (0.5000, 0.5000, 0.5000)
Cl (0.0000, 0.0000, 0.5000)

=====

# 2
Entry from Alexandria via LeMat-Bulk: an optimized crystal structure of BaSn2Cl8 (GGA-PBE).

Summary:
calculated total energy = -3.479 eV/atom

Cell lengths 13.7118, 7.2832, 8.0284 Å; angles 90.00, 105.68, 90.00 degrees
Space group C2/m (No. 12)
Symmetry-distinct sites (fractional):
Ba (0.0000, 0.0000, 0.0000)
Sn (0.2254, 0.0000, 0.6887)
Cl (0.0900, 0.5000, 0.1265)
Cl (0.1243, 0.2398, 0.7808)
Cl (0.1653, 0.0000, 0.3550)

=====

# 3
Entry from Alexandria via LeMat-Bulk: an optimized crystal structure of BaSn3Cl (GGA-PBE).

Summary:
calculated total energy = -2.308 eV/atom

Cell lengths 6.4078, 6.4078, 6.4078 Å; angles 90.00, 90.00, 90.00 degrees
Space group Pm-3m (No. 221)
Symmetry-distinct sites (fractional):
Ba (0.0000, 0.0000, 0.0000)
Sn (0.0000, 0.0000, 0.5000)
Cl (0.5000, 0.5000, 0.5000)

=====

# 4
Entry from Alexandria via LeMat-Bulk: an optimized crystal structure of BaSnTe2Cl (GGA-PBE).

Summary:
calculated total energy = -3.092 eV/atom

Cell lengths 6.4698, 6.4698, 5.6444 Å; angles 90.00, 90.00, 90.00 degrees
Space group P4/mmm (No. 123)
Symmetry-distinct sites (fractional):
Ba (0.0000, 0.0000, 0.0000)
Sn (0.5000, 0.5000, 0.5000)
Te (0.0000, 0.5000, 0.0000)
Cl (0.0000, 0.0000, 0.5000)

=====

Across the entries above, raw formation energy takes the values -6.03; -13.57; 4.24; -1.41 eV/f.u., respectively.